1.
# LiPu3U4As8 | the Alexandria database | PBE-GGA | optimized geometry
data_LiPu3U4As8
_chemical_formula_sum 'Li2 Pu6 U8 As16'
_cell_length_a 14.154
_cell_length_b 8.191
_cell_length_c 8.196
_cell_angle_alpha 90.00
_cell_angle_beta 124.91
_cell_angle_gamma 90.00
_symmetry_space_group_name_H-M 'C 1 2/m 1'
_symmetry_Int_Tables_number 12
loop_
_symmetry_equiv_pos_as_xyz
'x,y,z'
'-x,-y,-z'
'-x,y,-z'
'x,-y,z'
'x+1/2,y+1/2,z'
'-x+1/2,-y+1/2,-z'
'-x+1/2,y+1/2,-z'
'x+1/2,-y+1/2,z'
loop_
_atom_site_label
_atom_site_fract_x
_atom_site_fract_y
_atom_site_fract_z
Li1 0.000 0.000 0.000
Pu1 0.000 0.500 0.000
Pu2 0.250 0.250 0.000
U1 0.000 0.000 0.500
U2 0.000 0.500 0.500
U3 0.250 0.250 0.500
As1 0.002 0.250 0.256
As2 0.248 0.000 0.746
As3 0.248 0.500 0.744
# calculated formation energy	-0.769	eV/atom

2.
# LiPuU2As4 | the Alexandria database | PBE-GGA | optimized geometry
data_LiPuU2As4
_chemical_formula_sum 'Li1 Pu1 U2 As4'
_cell_length_a 7.042
_cell_length_b 4.120
_cell_length_c 7.047
_cell_angle_alpha 90.00
_cell_angle_beta 109.80
_cell_angle_gamma 90.00
_symmetry_space_group_name_H-M 'P 1 2/m 1'
_symmetry_Int_Tables_number 10
loop_
_symmetry_equiv_pos_as_xyz
'x,y,z'
'-x,-y,-z'
'-x,y,-z'
'x,-y,z'
loop_
_atom_site_label
_atom_site_fract_x
_atom_site_fract_y
_atom_site_fract_z
Li1 0.000 0.000 0.000
Pu1 0.500 0.500 0.000
U1 0.000 0.500 0.500
U2 0.500 0.000 0.500
As1 0.246 0.000 0.745
As2 0.254 0.500 0.261
# calculated formation energy	-0.710	eV/atom

3.
# LiPu2ZrAs4 | the Alexandria database | PBE-GGA | optimized geometry
data_LiPu2ZrAs4
_chemical_formula_sum 'Li1 Pu2 Zr1 As4'
_cell_length_a 6.741
_cell_length_b 4.039
_cell_length_c 7.080
_cell_angle_alpha 90.00
_cell_angle_beta 110.07
_cell_angle_gamma 90.00
_symmetry_space_group_name_H-M 'P 1 2/m 1'
_symmetry_Int_Tables_number 10
loop_
_symmetry_equiv_pos_as_xyz
'x,y,z'
'-x,-y,-z'
'-x,y,-z'
'x,-y,z'
loop_
_atom_site_label
_atom_site_fract_x
_atom_site_fract_y
_atom_site_fract_z
Li1 0.000 0.000 0.000
Pu1 0.500 0.000 0.500
Pu2 0.500 0.500 0.000
Zr1 0.000 0.500 0.500
As1 0.238 0.000 0.743
As2 0.242 0.500 0.254
# calculated formation energy	-0.862	eV/atom

4.
# RbLi2As | the Alexandria database | PBE-GGA | optimized geometry
data_RbLi2As
_chemical_formula_sum 'Rb4 Li8 As4'
_cell_length_a 5.751
_cell_length_b 5.751
_cell_length_c 15.532
_cell_angle_alpha 90.00
_cell_angle_beta 90.00
_cell_angle_gamma 90.00
_symmetry_space_group_name_H-M 'I 41/a m d'
_symmetry_Int_Tables_number 141
loop_
_symmetry_equiv_pos_as_xyz
'x,y,z'
'-x,-y,-z'
'-y+1/4,x+3/4,z+1/4'
'y+1/4,-x+3/4,-z+1/4'
'-x+1/2,-y,z+1/2'
'x+1/2,y,-z+1/2'
'y+1/4,-x+1/4,z+3/4'
'-y+1/4,x+1/4,-z+3/4'
'x,-y,-z'
'-x,y,z'
'-y+1/4,-x+1/4,-z+3/4'
'y+1/4,x+1/4,z+3/4'
'-x+1/2,y,-z+1/2'
'x+1/2,-y,z+1/2'
'y+1/4,x+3/4,-z+1/4'
'-y+1/4,-x+3/4,z+1/4'
'x+1/2,y+1/2,z+1/2'
'-x+1/2,-y+1/2,-z+1/2'
'-y+3/4,x+1/4,z+3/4'
'y+3/4,-x+1/4,-z+3/4'
'-x,-y+1/2,z'
'x,y+1/2,-z'
'y+3/4,-x+3/4,z+1/4'
'-y+3/4,x+3/4,-z+1/4'
'x+1/2,-y+1/2,-z+1/2'
'-x+1/2,y+1/2,z+1/2'
'-y+3/4,-x+3/4,-z+1/4'
'y+3/4,x+3/4,z+1/4'
'-x,y+1/2,-z'
'x,-y+1/2,z'
'y+3/4,x+1/4,-z+3/4'
'-y+3/4,-x+1/4,z+3/4'
loop_
_atom_site_label
_atom_site_fract_x
_atom_site_fract_y
_atom_site_fract_z
Rb1 0.000 0.250 0.375
Li1 0.000 0.000 0.000
As1 0.000 0.250 0.875
# calculated formation energy	-0.413	eV/atom

Which value of calculated formation energy does entry 1 give? -0.769 eV/atom

Which formula does entry 4 have? RbLi2As

Which formula does entry 4 have? RbLi2As